(1)
10
Lattice="-2.455 3.329 7.673 2.455 -3.329 7.673 2.455 3.329 -7.673" Properties=species:S:1:pos:R:3 comment="SmHg4 (GGA-PBE, optimized geometry)" delta_e_f_ev_per_fu=-1.39 e_tot_ev_per_atom=-1.4625 density_g_cm3=12.6 e_above_lowest_polymorph_kj_per_mol_atoms=0.00 pbc="T T T"
Sm 0.000 1.665 1.668
Sm 2.455 1.665 6.004
Hg 2.455 0.000 0.000
Hg 2.455 -1.665 6.110
Hg 2.455 0.004 3.017
Hg 0.000 0.004 4.655
Hg 0.000 0.000 7.673
Hg 2.455 3.325 3.017
Hg 0.000 3.325 4.655
Hg 0.000 4.994 1.563

***

(2)
4
Lattice="4.604 0.000 0.000 0.000 4.604 0.000 0.000 0.000 4.799" Properties=species:S:1:pos:R:3 comment="SmHg3 (GGA-PBE, optimized geometry)" delta_e_f_ev_per_fu=-1.36 e_tot_ev_per_atom=-1.7463 density_g_cm3=12.3 pbc="T T T"
Sm 0.000 0.000 0.000
Hg 0.000 2.302 2.400
Hg 2.302 0.000 2.400
Hg 2.302 2.302 0.000

***

(3)
10
Lattice="8.342 -2.496 0.000 8.342 2.496 0.000 -2.200 0.000 6.135" Properties=species:S:1:pos:R:3 comment="Sm3Hg7 (GGA-PBE, optimized geometry)" delta_e_f_ev_per_fu=-3.82 e_tot_ev_per_atom=-2.0085 density_g_cm3=12.1 pbc="T T T"
Sm 0.000 0.000 0.000
Sm 1.939 0.000 4.013
Sm 12.546 0.000 2.122
Hg -1.100 0.000 3.068
Hg 2.960 0.000 0.860
Hg 6.253 0.000 0.889
Hg 5.293 0.000 4.011
Hg 9.191 0.000 2.124
Hg 8.231 0.000 5.246
Hg 11.524 0.000 5.275

***

(4)
6
Lattice="6.040 -2.747 0.000 6.040 2.747 0.000 -3.719 0.000 5.733" Properties=species:S:1:pos:R:3 comment="Sm5Hg (GGA-PBE, optimized geometry)" delta_e_f_ev_per_fu=-0.64 e_tot_ev_per_atom=-4.0896 density_g_cm3=8.3 e_above_lowest_polymorph_kj_per_mol_atoms=3.77 pbc="T T T"
Sm 0.000 0.000 0.000
Sm -1.343 0.000 3.102
Sm 3.688 0.000 0.734
Sm 2.347 0.000 3.840
Sm 7.213 0.000 1.918
Hg 5.356 0.000 4.781